First-principles (GGA-PBE) data for a relaxed NaSb5 crystal, as listed in Alexandria via LeMat-Bulk.

The value obtained for the uncorrected formation energy is 48 meV per atom.

The space group is Cmmm (No. 65) and the conventional cell measures 5.224, 15.724 and 4.134 Å, with angles of 90.00, 90.00 and 90.00 degrees. The distinct sites, in fractional coordinates, are Na at (0.000, 0.000, 0.000), Sb at (0.000, 0.195, 0.500), Sb at (0.000, 0.354, 0.000) and Sb at (0.000, 0.500, 0.500).